1.
A geometry-optimized NdPS4Br structure. Source: Alexandria via LeMat-Bulk, functional PBE-GGA.

Summary:
density of states at the Fermi level: 0.000 states/eV/atom
total DFT energy (no corrections): -0.3634 Ry/atom
total magnetic moment: 0.00 μB/f.u.
ΔE_f (raw): -893 meV per atom
V: 29.678 A^3/atom
symmetry: No. 12

Cell: 8.162 8.162 7.152 Å, 75.54 75.54 65.99°
Sites, in units of the cell vectors:
S 0.446 0.095 0.167
S 0.905 0.554 0.833
S 0.503 0.503 0.851
S 0.497 0.497 0.149
S 0.339 0.339 0.551
S 0.095 0.446 0.167
S 0.661 0.661 0.449
S 0.554 0.905 0.833
P 0.662 0.662 0.726
P 0.338 0.338 0.274
Br 0.987 0.987 0.259
Br 0.013 0.013 0.741
Nd 0.825 0.825 0.070
Nd 0.175 0.175 0.930

---

2.
A geometry-optimized CaTmBr structure. Source: Alexandria via LeMat-Bulk, functional PBE-GGA.

Summary:
density of states at the Fermi level: 0.917 states/eV/atom
total DFT energy (no corrections): -0.2485 Ry/atom
total magnetic moment: 0.30 μB/f.u.
ΔE_f (raw): -665 meV per atom
V: 30.419 A^3/atom
symmetry: No. 38

Cell: 3.728 3.728 15.165 Å, 90.00 90.00 120.00°
Site moments in Bohr magnetons follow the coordinates.
Sites, in units of the cell vectors:
Br 0.111 0.222 0.166  -0.01
Br 0.111 0.222 0.834  -0.01
Tm 0.778 0.555 0.693  0.21
Tm 0.778 0.555 0.307  0.21
Ca 0.444 0.888 0.500  0.06
Ca 0.446 0.891 0.000  -0.07

---

3.
A geometry-optimized Li2AcY structure. Source: Alexandria via LeMat-Bulk, functional PBE-GGA.

Summary:
density of states at the Fermi level: 1.161 states/eV/atom
total DFT energy (no corrections): -0.2553 Ry/atom
total magnetic moment: 0.00 μB/f.u.
offset from the most stable computed form: 0.0 kJ per mole of atoms
V: 29.322 A^3/atom
symmetry: No. 123

Cell: 3.877 3.877 7.803 Å, 90.00 90.00 90.00°
Sites, in units of the cell vectors:
Li 0.000 0.000 0.770
Li 0.000 0.000 0.230
Y 0.500 0.500 0.000
Ac 0.500 0.500 0.500

---

4.
A geometry-optimized Ce3Zn2Ga7 structure. Source: Alexandria via LeMat-Bulk, functional PBE-GGA.

Summary:
density of states at the Fermi level: 1.472 states/eV/atom
total DFT energy (no corrections): -0.2815 Ry/atom
total magnetic moment: 1.54 μB/f.u.
V: 20.890 A^3/atom
symmetry: No. 139

Cell: 4.224 4.224 14.364 Å, 98.46 98.46 90.00°
Site moments in Bohr magnetons follow the coordinates.
Sites, in units of the cell vectors:
Ga 0.419 0.919 0.838  0.00
Ga 0.229 0.229 0.457  0.00
Ga 0.081 0.581 0.162  0.00
Ga 0.919 0.419 0.838  0.00
Ga 0.000 0.000 0.000  0.01
Ga 0.771 0.771 0.543  0.00
Ga 0.581 0.081 0.162  0.00
Zn 0.862 0.862 0.723  0.00
Zn 0.138 0.138 0.277  0.00
Ce 0.666 0.666 0.332  0.51
Ce 0.500 0.500 0.000  0.34
Ce 0.334 0.334 0.668  0.51

---

5.
A geometry-optimized Er2ThUN4 structure. Source: Alexandria via LeMat-Bulk, functional PBE-GGA.

Summary:
density of states at the Fermi level: 0.692 states/eV/atom
total DFT energy (no corrections): -0.6767 Ry/atom
total magnetic moment: 1.12 μB/f.u.
ΔE_f (raw): -1566 meV per atom
V: 15.047 A^3/atom
symmetry: No. 10

Cell: 3.481 6.053 6.049 Å, 109.15 90.00 90.00°
Site moments in Bohr magnetons follow the coordinates.
Sites, in units of the cell vectors:
Th 0.500 0.500 0.000  0.02
N 0.000 0.231 0.749  -0.02
N 0.000 0.769 0.251  -0.02
N 0.500 0.236 0.248  -0.03
N 0.500 0.764 0.752  -0.03
U 0.000 0.000 0.000  1.06
Er 0.000 0.500 0.500  0.03
Er 0.500 0.000 0.500  0.01

---

6.
A geometry-optimized TaFe2Re structure. Source: Alexandria via LeMat-Bulk, functional PBE-GGA.

Summary:
density of states at the Fermi level: 0.544 states/eV/atom
total DFT energy (no corrections): -0.7579 Ry/atom
total magnetic moment: 4.35 μB/f.u.
V: 14.113 A^3/atom
symmetry: No. 6

Cell: 4.302 2.644 5.028 Å, 80.79 90.00 90.00°
Site moments in Bohr magnetons follow the coordinates.
Sites, in units of the cell vectors:
Ta 0.500 0.749 0.761  -0.17
Re 0.000 0.498 0.482  0.08
Fe 0.000 0.024 0.010  2.23
Fe 0.500 0.230 0.248  2.28

---

7.
A geometry-optimized Hf2BiS structure. Source: Alexandria via LeMat-Bulk, functional PBE-GGA.

Summary:
density of states at the Fermi level: 0.583 states/eV/atom
total DFT energy (no corrections): -0.5394 Ry/atom
total magnetic moment: 0.00 μB/f.u.
ΔE_f (raw): -361 meV per atom
offset from the most stable computed form: 29.8 kJ per mole of atoms
V: 20.579 A^3/atom
symmetry: No. 225

Cell: 4.883 4.883 4.883 Å, 60.00 60.00 60.00°
Sites, in units of the cell vectors:
Hf 0.250 0.250 0.250
Hf 0.750 0.750 0.750
S 0.000 0.000 0.000
Bi 0.500 0.500 0.500

---

8.
A geometry-optimized La2Pr4HoTm structure. Source: Alexandria via LeMat-Bulk, functional PBE-GGA.

Summary:
density of states at the Fermi level: 1.707 states/eV/atom
total DFT energy (no corrections): -0.3477 Ry/atom
total magnetic moment: 0.00 μB/f.u.
V: 34.974 A^3/atom
symmetry: No. 10

Cell: 5.201 5.162 11.637 Å, 63.58 90.00 90.00°
Sites, in units of the cell vectors:
Pr 0.500 0.750 0.250
Pr 0.000 0.752 0.749
Pr 0.500 0.250 0.750
Pr 0.000 0.248 0.251
Tm 0.000 0.500 0.500
La 0.000 0.000 0.000
La 0.500 0.000 0.500
Ho 0.500 0.500 0.000